# 1
Computed, not measured: a crystal of BaY2Fe relaxed with PBEsol at the SCAN level of DFT.

Properties
- space group = Amm2 (38)
- polymorph energy (0 for the lowest one) (meV per atom) = 0

Cell: 3.674 4.078 8.520 Å, 103.85 90.00 90.00°
Last column: magnetic moment on the atom in μB.
Fractional coordinates of all 4 atoms:
Y 0.000 0.977 0.954  -0.29
Ba 0.000 0.663 0.327  -0.05
Fe 0.500 0.494 0.988  1.49
Y 0.500 0.347 0.694  -0.28



# 2
Computed, not measured: a crystal of BaYFe2 relaxed with PBEsol at the SCAN level of DFT.

Properties
- space group = P4/mmm (123)
- polymorph energy (0 for the lowest one) (meV per atom) = 217

Cell: 3.472 5.008 5.008 Å, 90.00 90.00 90.00°
Last column: magnetic moment on the atom in μB.
Fractional coordinates of all 4 atoms:
Fe 0.000 0.000 0.500  2.83
Y 0.500 0.500 0.500  -0.47
Fe 0.000 0.500 0.000  2.83
Ba 0.500 0.000 0.000  -0.15



# 3
Computed, not measured: a crystal of Ba2YFe relaxed with PBEsol at the SCAN level of DFT.

Properties
- space group = P4/mmm (123)
- polymorph energy (0 for the lowest one) (meV per atom) = 0

Cell: 3.743 3.743 9.792 Å, 90.00 90.00 90.00°
Last column: magnetic moment on the atom in μB.
Fractional coordinates of all 4 atoms:
Ba 0.000 0.000 0.196  -0.08
Y 0.500 0.500 0.500  0.54
Fe 0.500 0.500 0.000  3.00
Ba 0.000 0.000 0.804  -0.08



# 4
Computed, not measured: a crystal of BaYFe2 relaxed with PBEsol at the SCAN level of DFT.

Properties
- space group = F-43m (216)
- polymorph energy (0 for the lowest one) (meV per atom) = 413

Cell: 4.884 4.884 4.884 Å, 60.00 60.00 60.00°
Last column: magnetic moment on the atom in μB.
Fractional coordinates of all 4 atoms:
Y 0.250 0.250 0.250  -0.39
Fe 0.750 0.750 0.750  3.11
Fe 0.000 0.000 0.000  2.89
Ba 0.500 0.500 0.500  -0.10



# 5
Computed, not measured: a crystal of BaY2Fe relaxed with PBEsol at the SCAN level of DFT.

Properties
- space group = Fm-3m (225)
- polymorph energy (0 for the lowest one) (meV per atom) = 188

Cell: 5.287 5.287 5.287 Å, 60.00 60.00 60.00°
Last column: magnetic moment on the atom in μB.
Fractional coordinates of all 4 atoms:
Ba 0.000 0.000 0.000  -0.16
Y 0.750 0.750 0.750  -0.38
Fe 0.500 0.500 0.500  2.87
Y 0.250 0.250 0.250  -0.38



# 6
Computed, not measured: a crystal of BaYFe3 relaxed with PBEsol at the SCAN level of DFT.

Properties
- space group = Pm-3m (221)

Cell: 5.011 5.011 5.011 Å, 90.00 90.00 90.00°
Last column: magnetic moment on the atom in μB.
Fractional coordinates of all 5 atoms:
Fe 0.500 0.000 0.000  3.00
Fe 0.000 0.000 0.500  3.00
Fe 0.000 0.500 0.000  3.00
Ba 0.500 0.500 0.500  -0.07
Y 0.000 0.000 0.000  -0.70



# 7
Computed, not measured: a crystal of BaZnFe relaxed with PBEsol at the SCAN level of DFT.

Properties
- space group = F-43m (216)

Cell: 4.892 4.892 4.892 Å, 60.00 60.00 60.00°
Last column: magnetic moment on the atom in μB.
Fractional coordinates of all 3 atoms:
Zn 0.250 0.250 0.250  -0.09
Ba 0.000 0.000 0.000  -0.08
Fe 0.500 0.500 0.500  3.10



# 8
Computed, not measured: a crystal of BaZn3Fe relaxed with PBEsol at the SCAN level of DFT.

Properties
- space group = Pm-3m (221)

Cell: 5.719 5.719 5.719 Å, 90.00 90.00 90.00°
Last column: magnetic moment on the atom in μB.
Fractional coordinates of all 5 atoms:
Fe 0.500 0.500 0.500  3.49
Ba 0.000 0.000 0.000  -0.08
Zn 0.500 0.000 0.000  -0.02
Zn 0.000 0.000 0.500  -0.02
Zn 0.000 0.500 0.000  -0.02



# 9
Computed, not measured: a crystal of Ba2ZnFe relaxed with PBEsol at the SCAN level of DFT.

Properties
- space group = I-4m2 (119)

Cell: 4.794 4.794 5.870 Å, 114.10 114.10 90.00°
Last column: magnetic moment on the atom in μB.
Fractional coordinates of all 4 atoms:
Zn 0.250 0.750 0.500  -0.02
Ba 0.000 0.000 0.000  -0.11
Ba 0.750 0.250 0.500  -0.10
Fe 0.500 0.500 0.000  3.02



# 10
Computed, not measured: a crystal of Ba2ZnFe relaxed with PBEsol at the SCAN level of DFT.

Properties
- space group = C2/m (12)

Cell: 3.694 4.416 8.837 Å, 99.02 90.00 114.73°
Last column: magnetic moment on the atom in μB.
Fractional coordinates of all 4 atoms:
Fe 0.000 0.000 0.500  2.94
Ba 0.750 0.499 0.730  -0.14
Zn 0.500 0.000 0.000  -0.02
Ba 0.250 0.501 0.270  -0.14



# 11
Computed, not measured: a crystal of BaZnFe relaxed with PBEsol at the SCAN level of DFT.

Properties
- space group = I4mm (107)

Cell: 3.452 3.452 6.139 Å, 106.33 106.33 90.00°
Last column: magnetic moment on the atom in μB.
Fractional coordinates of all 3 atoms:
Zn 0.277 0.277 0.553  -0.10
Fe 0.724 0.724 0.447  2.82
Ba 0.000 0.000 0.999  -0.09



# 12
Computed, not measured: a crystal of Ba8Ga7 relaxed with PBEsol at the SCAN level of DFT.

Properties
- space group = P2_13 (198)

Cell: 12.794 12.794 12.794 Å, 90.00 90.00 90.00°
Fractional coordinates of all 60 atoms:
Ga 0.806 0.075 0.739
Ba 0.999 0.797 0.557
Ga 0.075 0.739 0.806
Ba 0.061 0.018 0.799
Ga 0.067 0.567 0.933
Ga 0.746 0.688 0.582
Ba 0.701 0.939 0.518
Ga 0.246 0.812 0.418
Ba 0.499 0.703 0.443
Ba 0.501 0.203 0.057
Ga 0.312 0.082 0.754
Ba 0.939 0.518 0.701
Ba 0.186 0.314 0.686
Ba 0.443 0.499 0.703
Ga 0.754 0.312 0.082
Ga 0.239 0.694 0.925
Ba 0.203 0.057 0.501
Ga 0.188 0.918 0.254
Ga 0.254 0.188 0.918
Ga 0.688 0.582 0.746
Ga 0.082 0.754 0.312
Ba 0.557 0.999 0.797
Ga 0.433 0.433 0.433
Ga 0.739 0.806 0.075
Ga 0.761 0.194 0.575
Ba 0.518 0.701 0.939
Ga 0.918 0.254 0.188
Ba 0.812 0.688 0.312
Ba 0.686 0.186 0.314
Ba 0.561 0.482 0.201
Ga 0.194 0.575 0.761
Ba 0.943 0.001 0.297
Ba 0.314 0.686 0.186
Ba 0.439 0.982 0.299
Ga 0.575 0.761 0.194
Ba 0.797 0.557 0.999
Ba 0.312 0.812 0.688
Ga 0.261 0.306 0.425
Ga 0.567 0.933 0.067
Ba 0.814 0.814 0.814
Ba 0.299 0.439 0.982
Ga 0.418 0.246 0.812
Ba 0.982 0.299 0.439
Ba 0.188 0.188 0.188
Ga 0.306 0.425 0.261
Ba 0.297 0.943 0.001
Ga 0.425 0.261 0.306
Ba 0.201 0.561 0.482
Ga 0.933 0.067 0.567
Ga 0.694 0.925 0.239
Ba 0.018 0.799 0.061
Ga 0.582 0.746 0.688
Ba 0.482 0.201 0.561
Ga 0.925 0.239 0.694
Ga 0.812 0.418 0.246
Ba 0.703 0.443 0.499
Ba 0.799 0.061 0.018
Ba 0.001 0.297 0.943
Ba 0.688 0.312 0.812
Ba 0.057 0.501 0.203



Result set for DFT formation energy: 362; 636; 595; 832; 550; 1225; 672; 1615; 523; 554; 327; -433 meV per atom, one per record in the order listed.
Result set for total energy: -27.98; -25.28; -30.67; -25.08; -27.79; -23.13; -23.06; -18.03; -27.16; -27.13; -23.41; -29.15 eV per atom, one per record in the order listed.